# 1
CaRu2Pt2: optimized geometry, PBE.

a b c (Å): 4.2310 4.2310 10.5739
angles (deg): 90.00 90.00 90.00
Fractional coordinates of all 10 atoms:
Ca  0.0000  0.0000  0.0000
Ca  0.5000  0.5000  0.5000
Ru  0.0000  0.0000  0.3953
Ru  0.0000  0.0000  0.6047
Ru  0.5000  0.5000  0.1047
Ru  0.5000  0.5000  0.8953
Pt  0.0000  0.5000  0.2500
Pt  0.0000  0.5000  0.7500
Pt  0.5000  0.0000  0.2500
Pt  0.5000  0.0000  0.7500

Properties
- Energy above the most stable polymorph in this dataset: 63 meV per atom
- M_tot: 0.000 μB/atom
- Symmetry: I4/mmm (139)
- Crystal system: tetragonal
- Formation energy from the elements: -16 kJ/mol of formula units
- Mass density: 11.1 Mg/m³
- E: -65.6 eV/cell

# 2
Tl2TeS2Cl2: optimized geometry, PBE.

a b c (Å): 5.2169 5.2169 15.8733
angles (deg): 90.00 90.00 90.00
Fractional coordinates of all 14 atoms:
Tl  0.0000  0.0000  0.1254
Tl  0.0000  0.0000  0.8746
Tl  0.5000  0.5000  0.3746
Tl  0.5000  0.5000  0.6254
Te  0.0000  0.0000  0.5000
Te  0.5000  0.5000  0.0000
S  0.0000  0.5000  0.0000
S  0.0000  0.5000  0.5000
S  0.5000  0.0000  0.0000
S  0.5000  0.0000  0.5000
Cl  0.0000  0.0000  0.3357
Cl  0.0000  0.0000  0.6643
Cl  0.5000  0.5000  0.1643
Cl  0.5000  0.5000  0.8357

Properties
- M_tot: 0.000 μB/atom
- Symmetry: I4/mmm (139)
- Crystal system: tetragonal
- Mass density: 5.2 Mg/m³
- E: -45.8 eV/cell

# 3
PIr2Se: optimized geometry, PBE.

a b c (Å): 5.3696 5.3696 11.0023
angles (deg): 90.00 90.00 90.00
Fractional coordinates of all 16 atoms:
P  0.0000  0.0000  0.0000
P  0.0000  0.5000  0.2500
P  0.5000  0.0000  0.7500
P  0.5000  0.5000  0.5000
Ir  0.2187  0.2500  0.1250
Ir  0.2500  0.7187  0.3750
Ir  0.2500  0.7813  0.8750
Ir  0.2813  0.2500  0.6250
Ir  0.7187  0.7500  0.6250
Ir  0.7500  0.2187  0.8750
Ir  0.7500  0.2813  0.3750
Ir  0.7813  0.7500  0.1250
Se  0.0000  0.0000  0.5000
Se  0.0000  0.5000  0.7500
Se  0.5000  0.0000  0.2500
Se  0.5000  0.5000  0.0000

Properties
- M_tot: 0.000 μB/atom
- Symmetry: I-42d (122)
- Crystal system: tetragonal
- Mass density: 10.4 Mg/m³
- E: -107.6 eV/cell

# 4
NaIr: optimized geometry, PBE.

a b c (Å): 8.9629 8.9629 8.9629
angles (deg): 90.00 90.00 90.00
Fractional coordinates of all 16 atoms:
Na  0.2046  0.2046  0.2046
Na  0.2046  0.7954  0.7954
Na  0.2954  0.2954  0.7046
Na  0.2954  0.7046  0.2954
Na  0.7046  0.2954  0.2954
Na  0.7046  0.7046  0.7046
Na  0.7954  0.2046  0.7954
Na  0.7954  0.7954  0.2046
Ir  0.0983  0.0983  0.9017
Ir  0.0983  0.9017  0.0983
Ir  0.4017  0.4017  0.4017
Ir  0.4017  0.5983  0.5983
Ir  0.5983  0.4017  0.5983
Ir  0.5983  0.5983  0.4017
Ir  0.9017  0.0983  0.0983
Ir  0.9017  0.9017  0.9017

Properties
- M_tot: 0.151 μB/atom
- Symmetry: I-43m (217)
- Crystal system: cubic
- Formation energy from the elements: 255 kJ/mol of formula units
- Mass density: 4.0 Mg/m³
- E: -60.3 eV/cell